Entry 1:
A plane-wave DFT calculation with GGA-PBEsol was carried out for crystalline TaCdMo at its relaxed geometry.

Lattice parameters (Å, degrees): 4.446 4.446 4.446 60.00 60.00 60.00
Fractional coordinates of all 3 atoms:
Ta  0.250  0.250  0.250
Mo  0.500  0.500  0.500
Cd  0.000  0.000  0.000

Results
**Energy of formation from the pure elements**: 1.251 eV per atom
**DOS(E_F)**: 3.96 states/eV/cell

Entry 2:
A plane-wave DFT calculation with GGA-PBEsol was carried out for crystalline Al3GaN4 at its relaxed geometry.

Lattice parameters (Å, degrees): 3.129 5.042 5.418 90.03 90.00 90.00
Fractional coordinates of all 8 atoms:
N  0.500  0.878  0.833
N  0.000  0.889  0.334
N  0.500  0.375  0.160
N  0.000  0.377  0.674
Ga  0.000  0.500  0.334
Al  0.500  0.999  0.165
Al  0.500  0.500  0.833
Al  0.000  0.999  0.668

Results
**Energy relative to the lowest polymorph listed for this composition**: 0.00 kcal/mol of atoms
**E_form (uncorrected)**: -998 kJ/mol of formula units
**DOS(E_F)**: 0.00 states/eV/cell

Entry 3:
A plane-wave DFT calculation with GGA-PBEsol was carried out for crystalline LiCu2F6 at its relaxed geometry.

Lattice parameters (Å, degrees): 4.584 4.584 8.968 90.00 90.00 90.00
Last column: magnetic moment on the atom in μB.
Fractional coordinates of all 18 atoms:
F  0.801  0.801  0.329  0.17
F  0.301  0.699  0.171  0.17
F  0.699  0.301  0.829  0.17
F  0.309  0.691  0.500  0.18
F  0.691  0.309  0.500  0.18
F  0.199  0.199  0.329  0.17
F  0.801  0.801  0.671  0.17
F  0.699  0.301  0.171  0.17
F  0.809  0.809  0.000  0.18
F  0.301  0.699  0.829  0.17
F  0.191  0.191  0.000  0.18
F  0.199  0.199  0.671  0.17
Li  0.000  0.000  0.500  0.00
Li  0.500  0.500  0.000  0.00
Cu  0.000  0.000  0.831  0.96
Cu  0.000  0.000  0.169  0.96
Cu  0.500  0.500  0.669  0.96
Cu  0.500  0.500  0.331  0.96

Results
**Energy relative to the lowest polymorph listed for this composition**: 0.00 kcal/mol of atoms
**E_form (uncorrected)**: -1569 kJ/mol of formula units
**DOS(E_F)**: 5.18 states/eV/cell

Entry 4:
A plane-wave DFT calculation with GGA-PBEsol was carried out for crystalline CaMn2Ag at its relaxed geometry.

Lattice parameters (Å, degrees): 3.635 4.445 5.332 114.63 109.93 90.00
Last column: magnetic moment on the atom in μB.
Fractional coordinates of all 4 atoms:
Ag  0.487  0.487  0.974  0.00
Mn  0.756  0.256  0.513  3.52
Mn  0.011  0.011  0.023  3.68
Ca  0.246  0.746  0.491  -0.06

Results
**Energy of formation from the pure elements**: 0.587 eV per atom
**DOS(E_F)**: 3.76 states/eV/cell

Entry 5:
A plane-wave DFT calculation with GGA-PBEsol was carried out for crystalline PdRuPt3 at its relaxed geometry.

Lattice parameters (Å, degrees): 4.659 4.659 4.659 90.00 90.00 90.00
Fractional coordinates of all 5 atoms:
Pt  0.000  0.500  0.000
Pt  0.000  0.000  0.500
Pt  0.500  0.000  0.000
Ru  0.000  0.000  0.000
Pd  0.500  0.500  0.500

Results
**Energy of formation from the pure elements**: 1.588 eV per atom
**DOS(E_F)**: 4.68 states/eV/cell

Entry 6:
A plane-wave DFT calculation with GGA-PBEsol was carried out for crystalline TlNi2S2 at its relaxed geometry.

Lattice parameters (Å, degrees): 3.716 3.716 6.770 105.93 105.93 90.00
Fractional coordinates of all 5 atoms:
Tl  0.000  0.000  0.000
S  0.653  0.653  0.306
S  0.347  0.347  0.694
Ni  0.750  0.250  0.500
Ni  0.250  0.750  0.500

Results
**E_form (uncorrected)**: -178 kJ/mol of formula units
**DOS(E_F)**: 4.12 states/eV/cell

Entry 7:
A plane-wave DFT calculation with GGA-PBEsol was carried out for crystalline PtSe2F2 at its relaxed geometry.

Lattice parameters (Å, degrees): 3.353 3.353 6.543 104.85 104.85 90.00
Fractional coordinates of all 5 atoms:
F  0.250  0.750  0.500
F  0.750  0.250  0.500
Se  0.387  0.387  0.775
Se  0.613  0.613  0.225
Pt  0.000  0.000  0.000

Results
**Energy relative to the lowest polymorph listed for this composition**: 0.51 kcal/mol of atoms
**E_form (uncorrected)**: -196 kJ/mol of formula units
**DOS(E_F)**: 1.22 states/eV/cell

Entry 8:
A plane-wave DFT calculation with GGA-PBEsol was carried out for crystalline NaIrSCl2 at its relaxed geometry.

Lattice parameters (Å, degrees): 4.348 5.068 5.068 90.00 90.00 90.00
Fractional coordinates of all 5 atoms:
Na  0.500  0.500  0.500
Cl  0.000  0.500  0.000
Cl  0.000  0.000  0.500
Ir  0.000  0.000  0.000
S  0.500  0.000  0.000

Results
**E_form (uncorrected)**: -227 kJ/mol of formula units
**DOS(E_F)**: 2.13 states/eV/cell

Entry 9:
A plane-wave DFT calculation with GGA-PBEsol was carried out for crystalline K2SiW at its relaxed geometry.

Lattice parameters (Å, degrees): 2.942 2.942 11.423 90.00 90.00 103.41
Fractional coordinates of all 4 atoms:
K  0.500  0.500  0.683
K  0.000  0.000  0.055
Si  0.000  0.000  0.458
W  0.500  0.500  0.304

Results
**E_form (uncorrected)**: 306 kJ/mol of formula units
**DOS(E_F)**: 2.97 states/eV/cell

Entry 10:
A plane-wave DFT calculation with GGA-PBEsol was carried out for crystalline BeFeIr2 at its relaxed geometry.

Lattice parameters (Å, degrees): 2.630 3.809 4.817 90.00 105.84 90.00
Fractional coordinates of all 4 atoms:
Ir  0.423  0.500  0.845
Ir  0.086  0.000  0.172
Be  0.824  0.000  0.648
Fe  0.692  0.500  0.384

Results
**Energy of formation from the pure elements**: -0.136 eV per atom
**DOS(E_F)**: 4.09 states/eV/cell

Entry 11:
A plane-wave DFT calculation with GGA-PBEsol was carried out for crystalline KTaSb2 at its relaxed geometry.

Lattice parameters (Å, degrees): 3.588 3.607 9.611 100.67 90.00 119.83
Fractional coordinates of all 4 atoms:
Sb  0.766  0.533  0.798
Sb  0.234  0.467  0.202
Ta  0.500  0.000  0.000
K  0.000  0.000  0.500

Results
**Energy relative to the lowest polymorph listed for this composition**: 0.00 kcal/mol of atoms
**E_form (uncorrected)**: -43 kJ/mol of formula units
**DOS(E_F)**: 1.39 states/eV/cell

Entry 12:
A plane-wave DFT calculation with GGA-PBEsol was carried out for crystalline V3S4 at its relaxed geometry.

Lattice parameters (Å, degrees): 3.176 5.780 6.369 114.33 104.44 90.00
Last column: magnetic moment on the atom in μB.
Fractional coordinates of all 7 atoms:
S  0.893  0.553  0.786  -0.02
S  0.641  0.977  0.281  -0.03
S  0.359  0.023  0.719  -0.03
S  0.107  0.447  0.214  -0.02
V  0.742  0.682  0.483  0.07
V  0.258  0.318  0.517  0.07
V  0.000  0.000  0.000  1.45

Results
**Energy relative to the lowest polymorph listed for this composition**: 0.83 kcal/mol of atoms
**E_form (uncorrected)**: -737 kJ/mol of formula units
**DOS(E_F)**: 3.93 states/eV/cell